(1)
Tb6NdHo3Th2 PBE optimized geometry; spin magnetization = 0.0000 μB/atom; symmetry = No. 12; DFT formation energy = 0.033 eV per atom; N(E_F) = 16.9 states/eV per cell
1.0
3.0952 -5.3542 0.0000
3.0952 5.3542 0.0000
-2.0618 0.0000 11.6128
Tb Nd Ho Th
6 1 3 2
Direct
0.0783 0.4162 0.7506
0.2457 0.2457 0.2494
0.4162 0.0783 0.7506
0.5838 0.9217 0.2494
0.7543 0.7543 0.7506
0.9217 0.5838 0.2494
0.5000 0.5000 0.0000
0.0000 0.0000 0.5000
0.3336 0.6664 0.5000
0.6664 0.3336 0.5000
0.1667 0.8333 0.0000
0.8333 0.1667 0.0000

---

(2)
ZnInNi2 PBE optimized geometry; spin magnetization = 0.0006 μB/atom; symmetry = No. 160; DFT formation energy = 0.244 eV per atom; N(E_F) = 13.6 states/eV per cell
1.0
2.8882 0.0000 0.0000
-1.4441 2.5013 0.0000
0.0000 0.0000 25.2306
Zn In Ni
3 3 6
Direct
0.0000 0.0000 0.0000
0.3333 0.6667 0.6667
0.6667 0.3333 0.3333
0.0000 0.0000 0.7698
0.3333 0.6667 0.4365
0.6667 0.3333 0.1031
0.0000 0.0000 0.2600
0.0000 0.0000 0.5201
0.3333 0.6667 0.1867
0.3333 0.6667 0.9266
0.6667 0.3333 0.5933
0.6667 0.3333 0.8534